Density functional theory data (PBE) for a relaxed structure of LaAlRh.

Properties
Raw total energy   -6.046 eV/atom
Space group   P3m1, No. 156
DOS(E_F)   0.76 states/eV per atom

Lattice parameters (Å, degrees): 4.3471 4.3471 4.1828 90.00 90.00 120.00
Sites, in units of the cell vectors:
1 Al 0.0000 0.0000 0.8340
2 La 0.6667 0.3333 0.3343
3 Rh 0.3333 0.6667 0.8317